[1]
# TbSmZn4 (PBE-GGA, optimized geometry)
data_TbSmZn4
_space_group_name_H-M_alt 'I m m m'
_space_group_IT_number 71
_space_group_name_Hall '-I 2 2'
_cell_length_a 4.517
_cell_length_b 7.108
_cell_length_c 7.808
_cell_angle_alpha 90.00
_cell_angle_beta 90.00
_cell_angle_gamma 90.00
loop_
_atom_site_label
_atom_site_fract_x
_atom_site_fract_y
_atom_site_fract_z
Tb1 0.000 0.000 0.000
Sm1 0.000 0.500 0.000
Zn1 0.000 0.252 0.333
# Total magnetic moment = 0.001 μB/f.u.
# Distance to the lowest polymorph of the same formula = 0.000 eV per atom
# Formation energy from the elements = -2.2 eV per formula unit
# Fermi-level density of states = 11.16 states/eV per cell

[2]
# Tb3Sm4Zn4 (PBE-GGA, optimized geometry)
data_Tb3Sm4Zn4
_space_group_name_H-M_alt 'I m m m'
_space_group_IT_number 71
_space_group_name_Hall '-I 2 2'
_cell_length_a 5.127
_cell_length_b 7.008
_cell_length_c 16.460
_cell_angle_alpha 90.00
_cell_angle_beta 90.00
_cell_angle_gamma 90.00
loop_
_atom_site_label
_atom_site_fract_x
_atom_site_fract_y
_atom_site_fract_z
Tb1 0.000 0.000 0.000
Tb2 0.000 0.500 0.100
Sm1 0.000 0.270 0.322
Zn1 0.000 0.000 0.178
Zn2 0.000 0.182 0.500
# Total magnetic moment = 0.000 μB/f.u.
# Formation energy from the elements = -1.1 eV per formula unit
# Fermi-level density of states = 21.54 states/eV per cell

[3]
# Tb2Sm8Zn (PBE-GGA, optimized geometry)
data_Tb2Sm8Zn
_space_group_name_H-M_alt 'C 1 2/m 1'
_space_group_IT_number 12
_space_group_name_Hall '-C 2y'
_cell_length_a 19.213
_cell_length_b 5.615
_cell_length_c 6.509
_cell_angle_alpha 90.00
_cell_angle_beta 93.01
_cell_angle_gamma 90.00
loop_
_atom_site_label
_atom_site_fract_x
_atom_site_fract_y
_atom_site_fract_z
Tb1 0.237 0.000 0.333
Sm1 0.040 0.000 0.251
Sm2 0.079 0.500 0.607
Sm3 0.155 0.500 0.119
Sm4 0.157 0.000 0.810
Zn1 0.000 0.500 0.000
# Total magnetic moment = 0.000 μB/f.u.
# Formation energy from the elements = -0.2 eV per formula unit
# Fermi-level density of states = 26.69 states/eV per cell

[4]
# Tb4SmZn5 (PBE-GGA, optimized geometry)
data_Tb4SmZn5
_space_group_name_H-M_alt 'P 4/m m m'
_space_group_IT_number 123
_space_group_name_Hall '-P 4 2'
_cell_length_a 3.595
_cell_length_b 3.595
_cell_length_c 17.959
_cell_angle_alpha 90.00
_cell_angle_beta 90.00
_cell_angle_gamma 90.00
loop_
_atom_site_label
_atom_site_fract_x
_atom_site_fract_y
_atom_site_fract_z
Tb1 0.000 0.000 0.099
Tb2 0.000 0.000 0.298
Sm1 0.000 0.000 0.500
Zn1 0.500 0.500 0.000
Zn2 0.500 0.500 0.199
Zn3 0.500 0.500 0.396
# Total magnetic moment = 0.003 μB/f.u.
# Formation energy from the elements = -3.3 eV per formula unit
# Fermi-level density of states = 11.90 states/eV per cell

[5]
# TbSm6Zn2 (PBE-GGA, optimized geometry)
data_TbSm6Zn2
_space_group_name_H-M_alt 'C 1 2/m 1'
_space_group_IT_number 12
_space_group_name_Hall '-C 2y'
_cell_length_a 12.663
_cell_length_b 3.689
_cell_length_c 11.971
_cell_angle_alpha 90.00
_cell_angle_beta 109.53
_cell_angle_gamma 90.00
loop_
_atom_site_label
_atom_site_fract_x
_atom_site_fract_y
_atom_site_fract_z
Tb1 0.000 0.000 0.000
Sm1 0.027 0.000 0.328
Sm2 0.188 0.500 0.591
Sm3 0.189 0.500 0.876
Zn1 0.146 0.500 0.198
# Total magnetic moment = 0.000 μB/f.u.
# Formation energy from the elements = -1.2 eV per formula unit
# Fermi-level density of states = 19.02 states/eV per cell

[6]
# Tb2Sm3Zn3 (PBE-GGA, optimized geometry)
data_Tb2Sm3Zn3
_space_group_name_H-M_alt 'I m m m'
_space_group_IT_number 71
_space_group_name_Hall '-I 2 2'
_cell_length_a 3.664
_cell_length_b 5.267
_cell_length_c 21.644
_cell_angle_alpha 90.00
_cell_angle_beta 90.00
_cell_angle_gamma 90.00
loop_
_atom_site_label
_atom_site_fract_x
_atom_site_fract_y
_atom_site_fract_z
Tb1 0.000 0.000 0.230
Sm1 0.000 0.000 0.000
Sm2 0.000 0.500 0.118
Zn1 0.000 0.000 0.500
Zn2 0.000 0.500 0.383
# Total magnetic moment = 0.000 μB/f.u.
# Formation energy from the elements = -1.9 eV per formula unit
# Fermi-level density of states = 19.28 states/eV per cell

[7]
# TbSm4Zn (PBE-GGA, optimized geometry)
data_TbSm4Zn
_space_group_name_H-M_alt 'P 4/m m m'
_space_group_IT_number 123
_space_group_name_Hall '-P 4 2'
_cell_length_a 3.622
_cell_length_b 3.622
_cell_length_c 13.870
_cell_angle_alpha 90.00
_cell_angle_beta 90.00
_cell_angle_gamma 90.00
loop_
_atom_site_label
_atom_site_fract_x
_atom_site_fract_y
_atom_site_fract_z
Tb1 0.000 0.000 0.000
Sm1 0.000 0.000 0.369
Sm2 0.500 0.500 0.182
Zn1 0.500 0.500 0.500
# Total magnetic moment = 0.000 μB/f.u.
# Distance to the lowest polymorph of the same formula = 0.000 eV per atom
# Formation energy from the elements = -0.6 eV per formula unit
# Fermi-level density of states = 7.27 states/eV per cell

[8]
# Tb2SmZn2 (PBE-GGA, optimized geometry)
data_Tb2SmZn2
_space_group_name_H-M_alt 'C m c 21'
_space_group_IT_number 36
_space_group_name_Hall 'C 2c -2'
_cell_length_a 5.298
_cell_length_b 15.372
_cell_length_c 6.232
_cell_angle_alpha 90.00
_cell_angle_beta 90.00
_cell_angle_gamma 90.00
loop_
_atom_site_label
_atom_site_fract_x
_atom_site_fract_y
_atom_site_fract_z
Tb1 0.000 0.042 0.000
Tb2 0.000 0.202 0.604
Sm1 0.000 0.416 0.849
Zn1 0.000 0.222 0.114
Zn2 0.000 0.376 0.340
# Total magnetic moment = 0.000 μB/f.u.
# Distance to the lowest polymorph of the same formula = 0.064 eV per atom
# Formation energy from the elements = -1.0 eV per formula unit
# Fermi-level density of states = 19.44 states/eV per cell

[9]
# TbSm2Zn3 (PBE-GGA, optimized geometry)
data_TbSm2Zn3
_space_group_name_H-M_alt 'P 4/m m m'
_space_group_IT_number 123
_space_group_name_Hall '-P 4 2'
_cell_length_a 3.620
_cell_length_b 3.620
_cell_length_c 10.877
_cell_angle_alpha 90.00
_cell_angle_beta 90.00
_cell_angle_gamma 90.00
loop_
_atom_site_label
_atom_site_fract_x
_atom_site_fract_y
_atom_site_fract_z
Tb1 0.000 0.000 0.000
Sm1 0.000 0.000 0.331
Zn1 0.500 0.500 0.161
Zn2 0.500 0.500 0.500
# Total magnetic moment = 0.004 μB/f.u.
# Formation energy from the elements = -1.9 eV per formula unit
# Fermi-level density of states = 7.15 states/eV per cell

[10]
# TbSm6Zn (PBE-GGA, optimized geometry)
data_TbSm6Zn
_space_group_name_H-M_alt 'P -1'
_space_group_IT_number 2
_space_group_name_Hall '-P 1'
_cell_length_a 6.361
_cell_length_b 6.363
_cell_length_c 6.363
_cell_angle_alpha 95.59
_cell_angle_beta 95.64
_cell_angle_gamma 95.52
loop_
_atom_site_label
_atom_site_fract_x
_atom_site_fract_y
_atom_site_fract_z
Tb1 0.000 0.000 0.000
Sm1 0.075 0.545 0.263
Sm2 0.263 0.076 0.544
Sm3 0.456 0.736 0.925
Zn1 0.500 0.500 0.500
# Total magnetic moment = 0.000 μB/f.u.
# Formation energy from the elements = 0.3 eV per formula unit
# Fermi-level density of states = 10.51 states/eV per cell

[11]
# Tb9Sm4Zn11 (PBE-GGA, optimized geometry)
data_Tb9Sm4Zn11
_space_group_name_H-M_alt 'C m m m'
_space_group_IT_number 65
_space_group_name_Hall '-C 2 2'
_cell_length_a 15.455
_cell_length_b 21.275
_cell_length_c 3.493
_cell_angle_alpha 90.00
_cell_angle_beta 90.00
_cell_angle_gamma 90.00
loop_
_atom_site_label
_atom_site_fract_x
_atom_site_fract_y
_atom_site_fract_z
Tb1 0.000 0.000 0.000
Tb2 0.112 0.407 0.000
Tb3 0.115 0.235 0.000
Sm1 0.169 0.086 0.000
Zn1 0.000 0.131 0.500
Zn2 0.000 0.321 0.500
Zn3 0.000 0.500 0.500
Zn4 0.210 0.500 0.500
Zn5 0.232 0.317 0.500
# Total magnetic moment = 0.001 μB/f.u.
# Formation energy from the elements = -5.8 eV per formula unit
# Fermi-level density of states = 50.74 states/eV per cell

[12]
# TbSmZn4 (PBE-GGA, optimized geometry)
data_TbSmZn4
_space_group_name_H-M_alt 'F -4 3 m'
_space_group_IT_number 216
_space_group_name_Hall 'F -4 2 3'
_cell_length_a 7.783
_cell_length_b 7.783
_cell_length_c 7.783
_cell_angle_alpha 90.00
_cell_angle_beta 90.00
_cell_angle_gamma 90.00
loop_
_atom_site_label
_atom_site_fract_x
_atom_site_fract_y
_atom_site_fract_z
Tb1 0.000 0.000 0.000
Sm1 0.250 0.250 0.750
Zn1 0.125 0.125 0.375
# Total magnetic moment = 0.000 μB/f.u.
# Distance to the lowest polymorph of the same formula = 0.030 eV per atom
# Formation energy from the elements = -2.0 eV per formula unit
# Fermi-level density of states = 5.80 states/eV per cell

[13]
# Tb6SmZn (PBE-GGA, optimized geometry)
data_Tb6SmZn
_space_group_name_H-M_alt 'R -3'
_space_group_IT_number 148
_space_group_name_Hall '-R 3'
_cell_length_a 9.3171
_cell_length_b 9.3171
_cell_length_c 9.7736
_cell_angle_alpha 90.00
_cell_angle_beta 90.00
_cell_angle_gamma 120.00
loop_
_atom_site_label
_atom_site_fract_x
_atom_site_fract_y
_atom_site_fract_z
Tb1 0.0309 0.2496 0.2050
Sm1 0.0000 0.0000 0.5000
Zn1 0.0000 0.0000 0.0000
# Total magnetic moment = 0.000 μB/f.u.
# Formation energy from the elements = 0.3 eV per formula unit
# Fermi-level density of states = 29.17 states/eV per cell

[14]
# Tb2SmZn (PBE-GGA, optimized geometry)
data_Tb2SmZn
_space_group_name_H-M_alt 'P 4/m m m'
_space_group_IT_number 123
_space_group_name_Hall '-P 4 2'
_cell_length_a 4.778
_cell_length_b 4.778
_cell_length_c 4.777
_cell_angle_alpha 90.00
_cell_angle_beta 90.00
_cell_angle_gamma 90.00
loop_
_atom_site_label
_atom_site_fract_x
_atom_site_fract_y
_atom_site_fract_z
Tb1 0.000 0.500 0.000
Sm1 0.000 0.000 0.500
Zn1 0.500 0.500 0.500
# Total magnetic moment = 0.004 μB/f.u.
# Distance to the lowest polymorph of the same formula = 0.131 eV per atom
# Formation energy from the elements = -0.1 eV per formula unit
# Fermi-level density of states = 5.59 states/eV per cell

[15]
# TbSmZn2 (PBE-GGA, optimized geometry)
data_TbSmZn2
_space_group_name_H-M_alt 'P 4/m m m'
_space_group_IT_number 123
_space_group_name_Hall '-P 4 2'
_cell_length_a 5.091
_cell_length_b 5.091
_cell_length_c 3.632
_cell_angle_alpha 90.00
_cell_angle_beta 90.00
_cell_angle_gamma 90.00
loop_
_atom_site_label
_atom_site_fract_x
_atom_site_fract_y
_atom_site_fract_z
Tb1 0.000 0.000 0.000
Sm1 0.500 0.500 0.000
Zn1 0.000 0.500 0.500
# Total magnetic moment = 0.000 μB/f.u.
# Formation energy from the elements = -1.3 eV per formula unit
# Fermi-level density of states = 4.29 states/eV per cell

[16]
# Tb2SmZr (PBE-GGA, optimized geometry)
data_Tb2SmZr
_space_group_name_H-M_alt 'C 1 m 1'
_space_group_IT_number 8
_space_group_name_Hall 'C -2y'
_cell_length_a 6.030
_cell_length_b 3.477
_cell_length_c 11.496
_cell_angle_alpha 90.00
_cell_angle_beta 100.10
_cell_angle_gamma 90.00
loop_
_atom_site_label
_atom_site_fract_x
_atom_site_fract_y
_atom_site_fract_z
Tb1 0.000 0.000 0.000
Tb2 0.177 0.000 0.533
Sm1 0.421 0.000 0.267
Zr1 0.088 0.500 0.767
# Total magnetic moment = 0.000 μB/f.u.
# Distance to the lowest polymorph of the same formula = 0.000 eV per atom
# Formation energy from the elements = 0.3 eV per formula unit
# Fermi-level density of states = 12.30 states/eV per cell

[17]
# Tb2SmZr (PBE-GGA, optimized geometry)
data_Tb2SmZr
_space_group_name_H-M_alt 'P 4/m m m'
_space_group_IT_number 123
_space_group_name_Hall '-P 4 2'
_cell_length_a 4.895
_cell_length_b 4.895
_cell_length_c 4.913
_cell_angle_alpha 90.00
_cell_angle_beta 90.00
_cell_angle_gamma 90.00
loop_
_atom_site_label
_atom_site_fract_x
_atom_site_fract_y
_atom_site_fract_z
Tb1 0.000 0.500 0.000
Sm1 0.000 0.000 0.500
Zr1 0.500 0.500 0.500
# Total magnetic moment = 0.000 μB/f.u.
# Distance to the lowest polymorph of the same formula = 0.021 eV per atom
# Formation energy from the elements = 0.4 eV per formula unit
# Fermi-level density of states = 4.62 states/eV per cell

[18]
# TbSmZr2 (PBE-GGA, optimized geometry)
data_TbSmZr2
_space_group_name_H-M_alt 'P 4/m m m'
_space_group_IT_number 123
_space_group_name_Hall '-P 4 2'
_cell_length_a 3.961
_cell_length_b 3.961
_cell_length_c 6.920
_cell_angle_alpha 90.00
_cell_angle_beta 90.00
_cell_angle_gamma 90.00
loop_
_atom_site_label
_atom_site_fract_x
_atom_site_fract_y
_atom_site_fract_z
Tb1 0.000 0.000 0.000
Sm1 0.000 0.000 0.500
Zr1 0.500 0.500 0.227
# Total magnetic moment = 0.000 μB/f.u.
# Distance to the lowest polymorph of the same formula = 0.078 eV per atom
# Formation energy from the elements = 0.9 eV per formula unit
# Fermi-level density of states = 4.88 states/eV per cell

[19]
# TbSm2Zr (PBE-GGA, optimized geometry)
data_TbSm2Zr
_space_group_name_H-M_alt 'F m -3 m'
_space_group_IT_number 225
_space_group_name_Hall '-F 4 2 3'
_cell_length_a 7.838
_cell_length_b 7.838
_cell_length_c 7.838
_cell_angle_alpha 90.00
_cell_angle_beta 90.00
_cell_angle_gamma 90.00
loop_
_atom_site_label
_atom_site_fract_x
_atom_site_fract_y
_atom_site_fract_z
Tb1 0.000 0.000 0.000
Sm1 0.250 0.250 0.250
Zr1 0.000 0.000 0.500
# Total magnetic moment = 1.660 μB/f.u.
# Distance to the lowest polymorph of the same formula = 0.120 eV per atom
# Formation energy from the elements = 0.9 eV per formula unit
# Fermi-level density of states = 27.60 states/eV per cell

[20]
# TbSm14Zr (PBE-GGA, optimized geometry)
data_TbSm14Zr
_space_group_name_H-M_alt 'P 4/m m m'
_space_group_IT_number 123
_space_group_name_Hall '-P 4 2'
_cell_length_a 7.193
_cell_length_b 7.193
_cell_length_c 10.149
_cell_angle_alpha 90.00
_cell_angle_beta 90.00
_cell_angle_gamma 90.00
loop_
_atom_site_label
_atom_site_fract_x
_atom_site_fract_y
_atom_site_fract_z
Tb1 0.000 0.000 0.000
Sm1 0.000 0.000 0.500
Sm2 0.000 0.500 0.000
Sm3 0.000 0.500 0.500
Sm4 0.255 0.255 0.244
Sm5 0.500 0.500 0.500
Zr1 0.500 0.500 0.000
# Total magnetic moment = 0.000 μB/f.u.
# Formation energy from the elements = 0.7 eV per formula unit
# Fermi-level density of states = 22.67 states/eV per cell